Below is a geometry-optimized Zr2NiBi2 structure, with properties calculated at the PBE level.

a = 3.9814 Å, b = 3.9814 Å, c = 15.9551 Å
α = 90.00°, β = 90.00°, γ = 90.00°
Last column: nearest neighbours and their distance in Å.
Space group I4/mmm (No. 139)
Asymmetric unit:
Zr 0.0000 0.5000 0.2500 (multiplicity 4)  4 Zr 2.82
Ni 0.0000 0.0000 0.0000 (multiplicity 2)  8 Bi 3.19
Bi 0.0000 0.0000 0.4062 (multiplicity 4)  1 Bi 2.99, 4 Ni 3.19, 4 Zr 3.19

---

Below is a geometry-optimized ZrNi4Bi structure, with properties calculated at the PBE level.

a = 4.2995 Å, b = 4.2995 Å, c = 19.7672 Å
α = 90.00°, β = 90.00°, γ = 120.00°
Last column: nearest neighbours and their distance in Å.
Space group R-3m (No. 166, hexagonal axes)
Asymmetric unit:
Zr 0.0000 0.0000 0.0000 (multiplicity 3)  8 Ni 2.55-2.59
Ni 0.0000 0.0000 0.1290 (multiplicity 6)  1 Zr 2.55, 3 Bi 2.59
Ni 0.0000 0.0000 0.3705 (multiplicity 6)  1 Bi 2.56, 3 Zr 2.59
Bi 0.0000 0.0000 0.5000 (multiplicity 3)  8 Ni 2.56-2.59

---

Below is a geometry-optimized ZrNiBi structure, with properties calculated at the PBE level.

a = 7.9089 Å, b = 7.9089 Å, c = 3.4562 Å
α = 90.00°, β = 90.00°, γ = 120.00°
Last column: nearest neighbours and their distance in Å.
Space group P-62m (No. 189)
Asymmetric unit:
Zr 0.0000 0.2904 0.0000 (multiplicity 3)  4 Bi 2.82-2.87, 4 Ni 3.15
Ni 0.0000 0.6354 0.5000 (multiplicity 3)  5 Bi 2.88-3.06, 4 Zr 3.15
Bi 0.0000 0.0000 0.5000 (multiplicity 1)  6 Zr 2.87, 3 Ni 2.88
Bi 0.3333 0.6667 0.0000 (multiplicity 2)  3 Zr 2.82, 6 Ni 3.06

---

no.,raw total energy (hartree per atom)
1,-0.2044
2,-0.2020
3,-0.2155